DFT (GGA-PBE) results for a geometry-optimized Pm12Pr2Sn5 structure.

## Properties
* energy relative to the elements: -3.73 eV/f.u.
* DOS at the Fermi energy: 23.0 states/eV/f.u.

The structure in POSCAR format:
```
Pm12Pr2Sn5
1.0
8.413 -3.917 0.000
8.413 3.917 0.000
-0.577 0.000 9.988
Pm Pr Sn
12 2 5
Direct
0.026 0.026 0.313
0.076 0.560 0.865
0.099 0.616 0.414
0.384 0.901 0.586
0.440 0.924 0.135
0.468 0.468 0.191
0.532 0.532 0.809
0.560 0.076 0.865
0.616 0.099 0.414
0.901 0.384 0.586
0.924 0.440 0.135
0.974 0.974 0.687
0.186 0.814 0.000
0.814 0.186 0.000
0.155 0.155 0.859
0.216 0.216 0.374
0.500 0.500 0.500
0.784 0.784 0.626
0.845 0.845 0.141
```

DFT (GGA-PBE) results for a geometry-optimized Tb3Dy4Pu structure.

## Properties
* energy relative to the elements: 1.20 eV/f.u.
* DOS at the Fermi energy: 16.9 states/eV/f.u.

The structure in POSCAR format:
```
Tb3Dy4Pu
1.0
-1.709 5.762 6.379
1.709 -5.762 6.379
1.709 5.762 -6.379
Tb Dy Pu
3 4 1
Direct
0.000 0.000 0.000
0.263 0.763 0.500
0.737 0.237 0.500
0.120 0.368 0.752
0.384 0.632 0.752
0.616 0.368 0.248
0.880 0.632 0.248
0.500 0.500 0.000
```

DFT (GGA-PBE) results for a geometry-optimized Re2OsRh structure.

## Properties
* energy above the most stable polymorph in this dataset: 108.6 meV/atom
* energy relative to the elements: -0.12 eV/f.u.
* DOS at the Fermi energy: 3.2 states/eV/f.u.

The structure in POSCAR format:
```
Re2OsRh
1.0
2.736 0.000 0.000
0.000 2.736 0.000
0.000 0.000 7.796
Re Os Rh
2 1 1
Direct
0.000 0.000 0.248
0.000 0.000 0.752
0.500 0.500 0.000
0.500 0.500 0.500
```

DFT (GGA-PBE) results for a geometry-optimized Mg3InRe structure.

## Properties
* energy above the most stable polymorph in this dataset: 0.0 meV/atom
* energy relative to the elements: 4.41 eV/f.u.
* DOS at the Fermi energy: 5.5 states/eV/f.u.

The structure in POSCAR format:
```
Mg3InRe
1.0
5.112 0.000 0.000
0.000 5.112 0.000
0.000 0.000 5.112
Mg In Re
3 1 1
Direct
0.000 0.000 0.500
0.000 0.500 0.000
0.500 0.000 0.000
0.500 0.500 0.500
0.000 0.000 0.000
```

DFT (GGA-PBE) results for a geometry-optimized MgRh2Pb structure.

## Properties
* energy relative to the elements: -1.01 eV/f.u.
* DOS at the Fermi energy: 1.7 states/eV/f.u.

The structure in POSCAR format:
```
MgRh2Pb
1.0
3.289 0.000 0.000
0.000 3.289 0.000
0.000 0.000 6.316
Mg Rh Pb
1 2 1
Direct
0.000 0.000 0.000
0.500 0.500 0.241
0.500 0.500 0.759
0.000 0.000 0.500
```

DFT (GGA-PBE) results for a geometry-optimized Sm8SnTe4Se3 structure.

## Properties
* uncorrected formation energy: -1.493 eV per atom
* DOS at the Fermi energy: 6.0 states/eV/f.u.

The structure in POSCAR format:
```
Sm8SnTe4Se3
1.0
4.321 2.495 7.231
-4.321 2.495 7.231
0.000 -4.990 7.231
Sm Sn Te Se
8 1 4 3
Direct
0.235 0.746 0.746
0.239 0.239 0.239
0.254 0.254 0.765
0.254 0.765 0.254
0.746 0.235 0.746
0.746 0.746 0.235
0.761 0.761 0.761
0.765 0.254 0.254
0.500 0.500 0.500
0.000 0.000 0.000
0.000 0.500 0.500
0.500 0.000 0.500
0.500 0.500 0.000
0.000 0.000 0.500
0.000 0.500 0.000
0.500 0.000 0.000
```

DFT (GGA-PBE) results for a geometry-optimized TbEr3Sc6 structure.

## Properties
* energy above the most stable polymorph in this dataset: 0.0 meV/atom
* energy relative to the elements: 1.55 eV/f.u.
* DOS at the Fermi energy: 15.5 states/eV/f.u.

The structure in POSCAR format:
```
TbEr3Sc6
1.0
5.229 -8.951 0.000
5.229 8.951 0.000
0.000 0.000 5.829
Tb Er Sc
2 6 12
Direct
0.210 0.790 0.500
0.790 0.210 0.000
0.069 0.280 0.691
0.280 0.069 0.191
0.395 0.605 0.596
0.605 0.395 0.096
0.720 0.931 0.691
0.931 0.720 0.191
0.032 0.460 0.295
0.048 0.952 0.730
0.283 0.386 0.138
0.286 0.714 0.020
0.386 0.283 0.638
0.460 0.032 0.795
0.540 0.968 0.295
0.614 0.717 0.138
0.714 0.286 0.520
0.717 0.614 0.638
0.952 0.048 0.230
0.968 0.540 0.795
```

DFT (GGA-PBE) results for a geometry-optimized MgNbH structure.

## Properties
* energy above the most stable polymorph in this dataset: 1585.5 meV/atom
* DOS at the Fermi energy: 2.3 states/eV/f.u.

The structure in POSCAR format:
```
MgNbH
1.0
4.569 0.000 0.000
-2.285 3.957 0.000
0.000 0.000 5.384
Mg Nb H
2 2 2
Direct
0.333 0.667 0.250
0.667 0.333 0.750
0.333 0.667 0.750
0.667 0.333 0.250
0.000 0.000 0.000
0.000 0.000 0.500
```